First-principles (GGA-PBE) data for Dy8TmSc5 after structural relaxation, as listed in Alexandria.

## Properties
Energy of formation from the pure elements, kcal/mol of atoms: 6.08
Theoretical density, g/cm3: 6.704
D(E_F), states/eV per cell: 44.72
Size of the total moment, μB per cell: 0.0
Calculated volume, Å³/atom: 30.0

The structure in CIF format:
```
data_Dy8TmSc5
_symmetry_space_group_name_H-M 'I -4'
_symmetry_Int_Tables_number 82
_cell_length_a 9.255
_cell_length_b 9.255
_cell_length_c 9.795
_cell_angle_alpha 90.00
_cell_angle_beta 90.00
_cell_angle_gamma 90.00
loop_
_symmetry_equiv_pos_as_xyz
'x,y,z'
'y,-x,-z'
'-x,-y,z'
'-y,x,-z'
'x+1/2,y+1/2,z+1/2'
'y+1/2,-x+1/2,-z+1/2'
'-x+1/2,-y+1/2,z+1/2'
'-y+1/2,x+1/2,-z+1/2'
loop_
_atom_site_label
_atom_site_fract_x
_atom_site_fract_y
_atom_site_fract_z
Dy1 0.069 0.174 0.343
Dy2 0.093 0.329 0.001
Tm1 0.000 0.000 0.000
Sc1 0.000 0.500 0.250
Sc2 0.109 0.297 0.678
```

***

First-principles (GGA-PBE) data for LiLuMgPb after structural relaxation, as listed in Alexandria.

## Properties
Energy of formation from the pure elements, kcal/mol of atoms: -4.75
Theoretical density, g/cm3: 7.100
D(E_F), states/eV per cell: 3.66
Size of the total moment, μB per cell: 0.0
Calculated volume, Å³/atom: 24.2

The structure in CIF format:
```
data_LiLuMgPb
_symmetry_space_group_name_H-M 'F -4 3 m'
_symmetry_Int_Tables_number 216
_symmetry_space_group_name_Hall 'F -4 2 3'
_cell_length_a 7.286
_cell_length_b 7.286
_cell_length_c 7.286
_cell_angle_alpha 90.00
_cell_angle_beta 90.00
_cell_angle_gamma 90.00
loop_
_atom_site_label
_atom_site_fract_x
_atom_site_fract_y
_atom_site_fract_z
Li1 0.000 0.000 0.000
Lu1 0.000 0.000 0.500
Mg1 0.250 0.250 0.750
Pb1 0.250 0.250 0.250
```

***

First-principles (GGA-PBE) data for ZnSbN2 after structural relaxation, as listed in Alexandria.

## Properties
Theoretical density, g/cm3: 6.058
D(E_F), states/eV per cell: 4.71
Size of the total moment, μB per cell: 0.0
Calculated volume, Å³/atom: 14.7
Excess energy over the best structure of this formula in the dataset, eV/atom: 0.000

The structure in CIF format:
```
data_ZnSbN2
_symmetry_space_group_name_H-M 'I -4 2 d'
_symmetry_Int_Tables_number 122
_symmetry_space_group_name_Hall 'I -4 2bw'
_cell_length_a 4.863
_cell_length_b 4.863
_cell_length_c 9.977
_cell_angle_alpha 90.00
_cell_angle_beta 90.00
_cell_angle_gamma 90.00
loop_
_atom_site_label
_atom_site_fract_x
_atom_site_fract_y
_atom_site_fract_z
Zn1 0.000 0.000 0.000
Sb1 0.000 0.000 0.500
N1 0.244 0.250 0.125
```

***

First-principles (GGA-PBE) data for TbHo7Cd2 after structural relaxation, as listed in Alexandria.

## Properties
Energy of formation from the pure elements, kcal/mol of atoms: 9.69
Theoretical density, g/cm3: 6.995
D(E_F), states/eV per cell: 42.61
Size of the total moment, μB per cell: 0.1
Calculated volume, Å³/atom: 36.5

The structure in CIF format:
```
data_TbHo7Cd2
_symmetry_space_group_name_H-M 'C m m m'
_symmetry_Int_Tables_number 65
_symmetry_space_group_name_Hall '-C 2 2'
_cell_length_a 8.926
_cell_length_b 15.639
_cell_length_c 5.232
_cell_angle_alpha 90.00
_cell_angle_beta 90.00
_cell_angle_gamma 90.00
loop_
_atom_site_label
_atom_site_fract_x
_atom_site_fract_y
_atom_site_fract_z
Tb1 0.000 0.000 0.000
Ho1 0.000 0.224 0.000
Ho2 0.000 0.500 0.500
Ho3 0.182 0.117 0.500
Cd1 0.000 0.304 0.500
```

***

First-principles (GGA-PBE) data for DyHo3In4 after structural relaxation, as listed in Alexandria.

## Properties
Energy of formation from the pure elements, kcal/mol of atoms: -10.49
Theoretical density, g/cm3: 8.807
D(E_F), states/eV per cell: 8.86
Size of the total moment, μB per cell: 0.0
Calculated volume, Å³/atom: 26.3
Excess energy over the best structure of this formula in the dataset, eV/atom: 0.000

The structure in CIF format:
```
data_DyHo3In4
_symmetry_space_group_name_H-M 'P m m a'
_symmetry_Int_Tables_number 51
_cell_length_a 10.733
_cell_length_b 7.192
_cell_length_c 5.455
_cell_angle_alpha 90.00
_cell_angle_beta 90.00
_cell_angle_gamma 90.00
loop_
_symmetry_equiv_pos_as_xyz
'x,y,z'
'-x,-y,-z'
'-x+1/2,-y,z'
'x+1/2,y,-z'
'x+1/2,-y,-z'
'-x+1/2,y,z'
'-x,y,-z'
'x,-y,z'
loop_
_atom_site_label
_atom_site_fract_x
_atom_site_fract_y
_atom_site_fract_z
Dy1 0.000 0.000 0.000
Ho1 0.000 0.500 0.000
Ho2 0.250 0.000 0.431
Ho3 0.250 0.500 0.429
In1 0.000 0.251 0.500
In2 0.250 0.251 0.921
```

***

First-principles (GGA-PBE) data for Pu2Sc2Tl7 after structural relaxation, as listed in Alexandria.

## Properties
Energy of formation from the pure elements, kcal/mol of atoms: 4.39
Theoretical density, g/cm3: 10.248
D(E_F), states/eV per cell: 41.56
Size of the total moment, μB per cell: 23.0
Calculated volume, Å³/atom: 29.6

The structure in CIF format:
```
data_Pu2Sc2Tl7
_symmetry_space_group_name_H-M 'C m m m'
_symmetry_Int_Tables_number 65
_symmetry_space_group_name_Hall '-C 2 2'
_cell_length_a 6.422
_cell_length_b 11.510
_cell_length_c 8.807
_cell_angle_alpha 90.00
_cell_angle_beta 90.00
_cell_angle_gamma 90.00
loop_
_atom_site_label
_atom_site_fract_x
_atom_site_fract_y
_atom_site_fract_z
Pu1 0.000 0.225 0.000
Sc1 0.249 0.500 0.500
Tl1 0.000 0.000 0.207
Tl2 0.000 0.500 0.000
Tl3 0.250 0.250 0.327
```

***

First-principles (GGA-PBE) data for ZrSc2O after structural relaxation, as listed in Alexandria.

## Properties
Theoretical density, g/cm3: 3.734
D(E_F), states/eV per cell: 23.97
Size of the total moment, μB per cell: 0.0
Calculated volume, Å³/atom: 21.9
Electronic total energy, Ry per atom: -0.556

The structure in CIF format:
```
data_ZrSc2O
_symmetry_space_group_name_H-M 'R -3 m'
_symmetry_Int_Tables_number 166
_symmetry_space_group_name_Hall '-R 3 2"'
_cell_length_a 3.3837
_cell_length_b 3.3837
_cell_length_c 26.5233
_cell_angle_alpha 90.00
_cell_angle_beta 90.00
_cell_angle_gamma 120.00
loop_
_atom_site_label
_atom_site_fract_x
_atom_site_fract_y
_atom_site_fract_z
Zr1 0.0000 0.0000 0.0000
Sc1 0.0000 0.0000 0.4291
O1 0.0000 0.0000 0.5000
```

***

First-principles (GGA-PBE) data for Li2MnRu after structural relaxation, as listed in Alexandria.

## Properties
Energy of formation from the pure elements, kcal/mol of atoms: 10.52
Theoretical density, g/cm3: 5.289
D(E_F), states/eV per cell: 3.90
Size of the total moment, μB per cell: 3.4
Calculated volume, Å³/atom: 13.3
Excess energy over the best structure of this formula in the dataset, eV/atom: 0.275

The structure in CIF format:
```
data_Li2MnRu
_symmetry_space_group_name_H-M 'P 4/m m m'
_symmetry_Int_Tables_number 123
_symmetry_space_group_name_Hall '-P 4 2'
_cell_length_a 3.270
_cell_length_b 3.270
_cell_length_c 4.988
_cell_angle_alpha 90.00
_cell_angle_beta 90.00
_cell_angle_gamma 90.00
loop_
_atom_site_label
_atom_site_fract_x
_atom_site_fract_y
_atom_site_fract_z
Li1 0.000 0.000 0.236
Mn1 0.500 0.500 0.500
Ru1 0.500 0.500 0.000
```

***

First-principles (GGA-PBE) data for CaTlAs after structural relaxation, as listed in Alexandria.

## Properties
Energy of formation from the pure elements, kcal/mol of atoms: -8.84
Theoretical density, g/cm3: 5.941
Size of the total moment, μB per cell: 0.0
Calculated volume, Å³/atom: 29.8
Excess energy over the best structure of this formula in the dataset, eV/atom: 0.219

The structure in CIF format:
```
data_CaTlAs
_symmetry_space_group_name_H-M 'F -4 3 m'
_symmetry_Int_Tables_number 216
_symmetry_space_group_name_Hall 'F -4 2 3'
_cell_length_a 7.095
_cell_length_b 7.095
_cell_length_c 7.095
_cell_angle_alpha 90.00
_cell_angle_beta 90.00
_cell_angle_gamma 90.00
loop_
_atom_site_label
_atom_site_fract_x
_atom_site_fract_y
_atom_site_fract_z
Ca1 0.000 0.000 0.000
Tl1 0.250 0.250 0.750
As1 0.250 0.250 0.250
```

***

First-principles (GGA-PBE) data for KZnCu after structural relaxation, as listed in Alexandria.

## Properties
Energy of formation from the pure elements, kcal/mol of atoms: 10.25
Theoretical density, g/cm3: 3.286
D(E_F), states/eV per cell: 6.68
Size of the total moment, μB per cell: 0.0
Calculated volume, Å³/atom: 28.3
Excess energy over the best structure of this formula in the dataset, eV/atom: 0.320

The structure in CIF format:
```
data_KZnCu
_symmetry_space_group_name_H-M 'F -4 3 m'
_symmetry_Int_Tables_number 216
_symmetry_space_group_name_Hall 'F -4 2 3'
_cell_length_a 6.977
_cell_length_b 6.977
_cell_length_c 6.977
_cell_angle_alpha 90.00
_cell_angle_beta 90.00
_cell_angle_gamma 90.00
loop_
_atom_site_label
_atom_site_fract_x
_atom_site_fract_y
_atom_site_fract_z
K1 0.000 0.000 0.000
Zn1 0.000 0.000 0.500
Cu1 0.250 0.250 0.250
```

***

First-principles (GGA-PBE) data for KGaSbN2 after structural relaxation, as listed in Alexandria.

## Properties
Theoretical density, g/cm3: 4.613
D(E_F), states/eV per cell: 3.40
Size of the total moment, μB per cell: 0.0
Calculated volume, Å³/atom: 18.6
Electronic total energy, Ry per atom: -0.253

The structure in CIF format:
```
data_KGaSbN2
_symmetry_space_group_name_H-M 'P 4/m m m'
_symmetry_Int_Tables_number 123
_symmetry_space_group_name_Hall '-P 4 2'
_cell_length_a 4.192
_cell_length_b 4.192
_cell_length_c 5.297
_cell_angle_alpha 90.00
_cell_angle_beta 90.00
_cell_angle_gamma 90.00
loop_
_atom_site_label
_atom_site_fract_x
_atom_site_fract_y
_atom_site_fract_z
K1 0.000 0.000 0.000
Ga1 0.000 0.000 0.500
Sb1 0.500 0.500 0.000
N1 0.000 0.500 0.500
```

***

First-principles (GGA-PBE) data for Tm3Ga2Rh5 after structural relaxation, as listed in Alexandria.

## Properties
Energy of formation from the pure elements, kcal/mol of atoms: -20.06
Theoretical density, g/cm3: 10.913
D(E_F), states/eV per cell: 10.92
Size of the total moment, μB per cell: 0.0
Calculated volume, Å³/atom: 17.7

The structure in CIF format:
```
data_Tm3Ga2Rh5
_symmetry_space_group_name_H-M 'P 4/m b m'
_symmetry_Int_Tables_number 127
_symmetry_space_group_name_Hall '-P 4 2ab'
_cell_length_a 9.953
_cell_length_b 9.953
_cell_length_c 3.566
_cell_angle_alpha 90.00
_cell_angle_beta 90.00
_cell_angle_gamma 90.00
loop_
_atom_site_label
_atom_site_fract_x
_atom_site_fract_y
_atom_site_fract_z
Tm1 0.000 0.000 0.000
Tm2 0.173 0.327 0.000
Ga1 0.124 0.624 0.000
Rh1 0.000 0.500 0.500
Rh2 0.072 0.790 0.500
```